Material: SrYAu2
Method: DFT, GGA-PBE
State: relaxed

Structure (CIF):
```
data_SrYAu2
_chemical_formula_sum 'Sr1 Y1 Au2'
_cell_length_a 3.728
_cell_length_b 3.698
_cell_length_c 7.528
_cell_angle_alpha 90.00
_cell_angle_beta 90.11
_cell_angle_gamma 90.00
_space_group_name_H-M_alt 'P 1 2/m 1'
_space_group_IT_number 10
loop_
_space_group_symop_operation_xyz
'x,y,z'
'-x,-y,-z'
'-x,y,-z'
'x,-y,z'
loop_
_atom_site_label
_atom_site_fract_x
_atom_site_fract_y
_atom_site_fract_z
_atom_site_occupancy
Sr1 0.000 0.000 0.000 1
Y1 0.000 0.000 0.500 1
Au1 0.500 0.500 0.289 1
```

Values from the calculation:
The polymorph energy (0 for the lowest one) comes out at 0 meV/atom. The crystal system is monoclinic.